# 1
Dy6Si2HgSe3: relaxed, GGA-PBE.

The value obtained for the volume is 301 Å³ per cell. As for the density of states at the Fermi level: 5.4 states/eV/cell. For the total magnetization, the calculation gives 0.00 Bohr magnetons per cell. The formation energy without anion corrections comes out at -117.4 kJ/mol of atoms.

```
Dy6Si2HgSe3
1.0
9.1401 -2.0535 0.0000
9.1401 2.0535 0.0000
-2.4747 0.0000 8.0233
Dy Si Hg Se
6 2 1 3
Cartesian
-0.5834 0.0000 1.8939 Dy
16.3890 0.0000 6.1294 Dy
3.6980 0.0000 7.4687 Dy
4.9952 0.0000 3.2818 Dy
10.8104 0.0000 4.7415 Dy
12.1076 0.0000 0.5547 Dy
0.9376 0.0000 6.6077 Si
14.8680 0.0000 1.4156 Si
7.9028 0.0000 4.0117 Hg
2.2364 0.0000 2.6312 Se
9.1401 0.0000 0.0000 Se
13.5692 0.0000 5.3921 Se
```

***

# 2
NaSm4S6: relaxed, GGA-PBE.

The value obtained for the volume is 556 Å³ per cell. As for the density of states at the Fermi level: 4.7 states/eV/cell. For the total magnetization, the calculation gives 0.00 Bohr magnetons per cell. The formation energy without anion corrections comes out at -184.7 kJ/mol of atoms.

```
NaSm4S6
1.0
1.9987 -6.6943 0.0000
1.9987 6.6943 0.0000
0.0000 0.0000 20.7925
Na Sm S
2 8 12
Cartesian
1.9987 4.6573 15.5944 Na
1.9987 -4.6573 5.1981 Na
1.9987 5.3334 2.8897 Sm
1.9987 5.3334 7.5066 Sm
1.9987 1.7561 0.9384 Sm
1.9987 1.7561 9.4579 Sm
1.9987 -1.7561 11.3346 Sm
1.9987 -1.7561 19.8542 Sm
1.9987 -5.3334 13.2860 Sm
1.9987 -5.3334 17.9028 Sm
0.0000 0.0000 0.0000 S
0.0000 0.0000 10.3963 S
1.9987 4.0535 5.1981 S
1.9987 3.0259 12.0497 S
1.9987 3.0259 19.1391 S
1.9987 0.4773 3.3392 S
1.9987 0.4773 7.0571 S
1.9987 -0.4773 13.7354 S
1.9987 -0.4773 17.4534 S
1.9987 -3.0259 1.6534 S
1.9987 -3.0259 8.7428 S
1.9987 -4.0535 15.5944 S
```

***

# 3
CdH2Br3: relaxed, GGA-PBE.

The calculation puts the uncorrected energy at -2.18 eV per atom. The value obtained for the volume is 366 Å³ per cell. For the total magnetization, the calculation gives 2.00 Bohr magnetons per cell.

```
CdH2Br3
1.0
4.1904 -6.9386 0.0000
4.1904 6.9386 0.0000
-3.4012 0.0000 6.3020
Cd H Br
2 4 6
Cartesian
1.6395 6.9143 4.7265 Cd
3.3401 -6.9143 1.5755 Cd
1.8075 2.1843 3.1006 H
4.8726 2.1843 0.0504 H
0.1069 -2.1843 6.2516 H
3.1720 -2.1843 3.2015 H
1.1671 1.4701 0.6128 Br
-0.5335 -1.4701 3.7638 Br
1.6395 1.9882 4.7265 Br
3.3401 -1.9882 1.5755 Br
5.5130 1.4701 2.5383 Br
3.8124 -1.4701 5.6893 Br
```

***

# 4
TaBi3Au: relaxed, GGA-PBE.

The calculation puts the offset from the most stable computed form at 0 meV/atom. The formation enthalpy at 0 K is 631 meV per atom. The value obtained for the volume is 162 Å³ per cell. As for the density of states at the Fermi level: 3.4 states/eV/cell. For the total magnetization, the calculation gives 0.00 Bohr magnetons per cell.

```
TaBi3Au
1.0
5.4546 0.0000 0.0000
0.0000 5.4546 0.0000
0.0000 0.0000 5.4546
Ta Bi Au
1 3 1
Cartesian
0.0000 0.0000 0.0000 Ta
0.0000 0.0000 2.7273 Bi
0.0000 2.7273 0.0000 Bi
2.7273 0.0000 0.0000 Bi
2.7273 2.7273 2.7273 Au
```

***

# 5
ScZn4Pd: relaxed, GGA-PBE.

The formation enthalpy at 0 K is -374 meV per atom. The value obtained for the volume is 93 Å³ per cell. As for the density of states at the Fermi level: 4.6 states/eV/cell. For the total magnetization, the calculation gives 0.00 Bohr magnetons per cell.

```
ScZn4Pd
1.0
0.0000 3.5965 3.5965
3.5965 0.0000 3.5965
3.5965 3.5965 0.0000
Sc Zn Pd
1 4 1
Cartesian
0.0000 0.0000 0.0000 Sc
2.6994 2.6994 2.6994 Zn
4.4936 4.4936 2.6994 Zn
4.4936 2.6994 4.4936 Zn
2.6994 4.4936 4.4936 Zn
5.3947 5.3947 5.3947 Pd
```

***

# 6
BaTmPt2: relaxed, GGA-PBE.

The calculation puts the offset from the most stable computed form at 0 meV/atom. The formation enthalpy at 0 K is -982 meV per atom. The value obtained for the volume is 97 Å³ per cell. As for the density of states at the Fermi level: 2.5 states/eV/cell. For the total magnetization, the calculation gives 0.00 Bohr magnetons per cell.

```
BaTmPt2
1.0
3.5788 0.0000 0.0000
0.0000 3.5788 0.0000
0.0000 0.0000 7.6025
Ba Tm Pt
1 1 2
Cartesian
0.0000 0.0000 0.0000 Ba
0.0000 0.0000 3.8013 Tm
1.7894 1.7894 2.3056 Pt
1.7894 1.7894 5.2969 Pt
```

***

# 7
CsAcTe3Pb: relaxed, GGA-PBE.

The value obtained for the volume is 581 Å³ per cell. For the total magnetization, the calculation gives 0.00 Bohr magnetons per cell. The formation energy without anion corrections comes out at -104.3 kJ/mol of atoms.

```
CsAcTe3Pb
1.0
10.0540 0.0000 0.0000
0.0000 4.7487 0.0000
-3.8796 0.0000 12.1622
Cs Ac Te Pb
2 2 6 2
Cartesian
1.3458 1.1872 3.3662 Cs
4.8287 3.5615 8.7960 Cs
0.2318 3.5615 10.3001 Ac
5.9426 1.1872 1.8622 Ac
-2.0519 1.1872 9.5730 Te
1.1042 3.5615 7.0292 Te
3.6755 3.5615 1.4114 Te
2.4989 1.1872 10.7508 Te
5.0702 1.1872 5.1330 Te
8.2264 3.5615 2.5892 Te
-0.8692 1.1872 6.8479 Pb
7.0436 3.5615 5.3144 Pb
```

***

# 8
CsCCl2: relaxed, GGA-PBE.

The calculation puts the offset from the most stable computed form at 446 meV/atom. The value obtained for the volume is 115 Å³ per cell. As for the density of states at the Fermi level: 9.0 states/eV/cell. For the total magnetization, the calculation gives 1.00 Bohr magnetons per cell. The formation energy without anion corrections comes out at 90.6 kJ/mol of atoms.

```
CsCCl2
1.0
0.0000 3.8612 3.8612
3.8612 0.0000 3.8612
3.8612 3.8612 0.0000
Cs C Cl
1 1 2
Cartesian
0.0000 0.0000 0.0000 Cs
3.8612 3.8612 3.8612 C
1.9306 1.9306 1.9306 Cl
5.7918 5.7918 5.7918 Cl
```

***

# 9
NaAgHgTe2: relaxed, GGA-PBE.

The value obtained for the volume is 324 Å³ per cell. As for the density of states at the Fermi level: 0.7 states/eV/cell. For the total magnetization, the calculation gives 0.00 Bohr magnetons per cell. The formation energy without anion corrections comes out at -35.0 kJ/mol of atoms.

```
NaAgHgTe2
1.0
8.2581 -2.3071 0.0000
8.2581 2.3071 0.0000
-2.3342 0.0000 8.5099
Na Ag Hg Te
2 2 2 4
Cartesian
3.3427 0.0000 1.9348 Na
10.8393 0.0000 6.5751 Na
1.0720 0.0000 4.7724 Ag
13.1100 0.0000 3.7375 Ag
7.3091 0.0000 1.8911 Hg
6.8729 0.0000 6.6188 Hg
0.1027 0.0000 7.3793 Te
4.4610 0.0000 5.2760 Te
9.7210 0.0000 3.2339 Te
14.0793 0.0000 1.1306 Te
```

***

# 10
Li2MnTe: relaxed, GGA-PBE.

The value obtained for the volume is 71 Å³ per cell. As for the density of states at the Fermi level: 2.1 states/eV/cell. For the total magnetization, the calculation gives 4.02 Bohr magnetons per cell. The formation energy without anion corrections comes out at -24.8 kJ/mol of atoms.

```
Li2MnTe
1.0
4.1023 0.0000 0.0000
0.0000 4.1023 0.0000
0.0000 0.0000 4.2005
Li Mn Te
2 1 1
Cartesian
0.0000 2.0512 0.0000 Li
2.0512 0.0000 0.0000 Li
0.0000 0.0000 2.1002 Mn
2.0512 2.0512 2.1002 Te
```

***

# 11
Y4MgCd: relaxed, GGA-PBE.

The calculation puts the offset from the most stable computed form at 234 meV/atom. The formation enthalpy at 0 K is 295 meV per atom. The value obtained for the volume is 184 Å³ per cell. As for the density of states at the Fermi level: 5.3 states/eV/cell. For the total magnetization, the calculation gives 0.00 Bohr magnetons per cell.

```
Y4MgCd
1.0
0.0000 4.5158 4.5158
4.5158 0.0000 4.5158
4.5158 4.5158 0.0000
Y Mg Cd
4 1 1
Cartesian
1.1286 1.1286 1.1286 Y
3.3872 3.3872 1.1286 Y
3.3872 1.1286 3.3872 Y
1.1286 3.3872 3.3872 Y
4.5158 4.5158 4.5158 Mg
6.7737 6.7737 6.7737 Cd
```

***

# 12
Tm3Zn2Ga9: relaxed, GGA-PBE.

The formation enthalpy at 0 K is -402 meV per atom. The value obtained for the volume is 259 Å³ per cell. As for the density of states at the Fermi level: 4.2 states/eV/cell. For the total magnetization, the calculation gives 0.00 Bohr magnetons per cell.

```
Tm3Zn2Ga9
1.0
-2.0856 5.0372 6.1727
2.0856 -5.0372 6.1727
2.0856 5.0372 -6.1727
Tm Zn Ga
3 2 9
Cartesian
0.0000 0.0000 0.0000 Tm
0.0000 0.0000 3.9356 Tm
0.0000 0.0000 8.4098 Tm
2.0856 2.9296 0.0000 Zn
0.0000 2.1076 6.1727 Zn
2.0856 -1.2535 1.9801 Ga
2.0856 -2.2458 4.4340 Ga
2.0856 1.2535 1.9801 Ga
0.0000 2.7914 1.7387 Ga
0.0000 5.0372 0.0000 Ga
2.0856 2.2458 4.4340 Ga
0.0000 3.7837 4.1926 Ga
0.0000 7.2830 1.7387 Ga
0.0000 6.2908 4.1926 Ga
```

***

> total magnetization of number 8 (CsCCl2)?

1.00 Bohr magnetons per cell

***

> Look up the total magnetization of the seventh one.

0.00 Bohr magnetons per cell

***

> Which value of total magnetization does entry 2 give?

0.00 Bohr magnetons per cell